[1]
An optimized crystal structure of La3FeSiS7. Source: Alexandria, functional PBE.

a = 10.396 Å, b = 10.396 Å, c = 5.698 Å
α = 90.00°, β = 90.00°, γ = 120.00°
Element x y z (fractional)
S: 0.919 0.764 0.752
S: 0.885 0.409 0.990
S: 0.844 0.081 0.752
S: 0.667 0.333 0.482
S: 0.115 0.591 0.490
S: 0.156 0.919 0.252
S: 0.409 0.524 0.490
S: 0.236 0.156 0.752
S: 0.081 0.236 0.252
S: 0.476 0.885 0.490
S: 0.764 0.844 0.252
S: 0.591 0.476 0.990
S: 0.333 0.667 0.982
S: 0.524 0.115 0.990
Fe: 0.000 0.000 0.014
Fe: 0.000 0.000 0.514
La: 0.233 0.878 0.766
La: 0.356 0.233 0.266
La: 0.767 0.122 0.266
La: 0.878 0.644 0.266
La: 0.644 0.767 0.766
La: 0.122 0.356 0.766
Si: 0.667 0.333 0.851
Si: 0.333 0.667 0.351

The crystal system is hexagonal. For the uncorrected formation energy, the calculation gives -1.5743 eV/atom. Its density of states at the Fermi level is 3.776 states/eV per cell. As for the space group: No. 173. The value obtained for the size of the total moment is 5.998 Bohr magnetons per cell. The total energy comes out at -152.903 eV/cell.

[2]
An optimized crystal structure of Li5CuO4. Source: Alexandria, functional PBE.

a = 2.990 Å, b = 5.874 Å, c = 5.874 Å
α = 65.45°, β = 75.25°, γ = 75.25°
Element x y z (fractional)
O: 0.250 0.711 0.289
O: 0.049 0.201 0.201
O: 0.451 0.799 0.799
O: 0.250 0.289 0.711
Li: 0.908 0.059 0.625
Li: 0.908 0.625 0.059
Li: 0.750 0.500 0.500
Li: 0.592 0.941 0.375
Li: 0.592 0.375 0.941
Cu: 0.250 0.000 0.000

The crystal system is orthorhombic. For the uncorrected formation energy, the calculation gives -1.4362 eV/atom. As for the space group: No. 71. The value obtained for the size of the total moment is 0.000 Bohr magnetons per cell. The total energy comes out at -47.860 eV/cell.

[3]
An optimized crystal structure of CaZnIr4. Source: Alexandria, functional PBE.

a = 5.266 Å, b = 5.266 Å, c = 5.266 Å
α = 60.00°, β = 60.00°, γ = 60.00°
Element x y z (fractional)
Zn: 0.750 0.750 0.750
Ir: 0.874 0.375 0.375
Ir: 0.375 0.375 0.375
Ir: 0.375 0.375 0.874
Ir: 0.375 0.874 0.375
Ca: 0.000 0.000 0.000

The crystal system is cubic. Its formation energy from the elements is -0.090 eV/atom. Its density of states at the Fermi level is 6.366 states/eV per cell. As for the space group: No. 216. The value obtained for the size of the total moment is 0.000 Bohr magnetons per cell. The total energy comes out at -39.262 eV/cell.

[4]
An optimized crystal structure of Ca2MgPb. Source: Alexandria, functional PBE.

a = 6.443 Å, b = 6.443 Å, c = 5.812 Å
α = 73.44°, β = 73.44°, γ = 32.53°
Element x y z (fractional)
Ca: 0.770 0.770 0.697
Ca: 0.976 0.976 0.058
Mg: 0.527 0.527 0.530
Pb: 0.227 0.227 0.215

The crystal system is monoclinic. Its formation energy from the elements is -0.275 eV/atom. Its density of states at the Fermi level is 2.348 states/eV per cell. As for the space group: No. 8. The value obtained for the size of the total moment is 0.000 Bohr magnetons per cell. The total energy comes out at -10.407 eV/cell.

[5]
An optimized crystal structure of Sm3ScTe4. Source: Alexandria, functional PBE.

a = 4.337 Å, b = 7.617 Å, c = 7.617 Å
α = 108.95°, β = 90.00°, γ = 90.00°
Element x y z (fractional)
Sm: 0.000 0.000 0.500
Sm: 0.500 0.500 0.500
Sm: 0.000 0.500 0.000
Te: 0.000 0.235 0.235
Te: 0.000 0.765 0.765
Te: 0.500 0.242 0.758
Te: 0.500 0.758 0.242
Sc: 0.500 0.000 0.000

The crystal system is orthorhombic. For the uncorrected formation energy, the calculation gives -1.2964 eV/atom. Its density of states at the Fermi level is 5.379 states/eV per cell. As for the space group: No. 65. The value obtained for the size of the total moment is 0.000 Bohr magnetons per cell. The total energy comes out at -43.427 eV/cell.

[6]
An optimized crystal structure of Ta2AgP. Source: Alexandria, functional PBE.

a = 5.201 Å, b = 5.201 Å, c = 5.201 Å
α = 136.10°, β = 136.10°, γ = 63.82°
Element x y z (fractional)
Ta: 0.000 0.000 0.000
Ta: 0.250 0.750 0.500
P: 0.750 0.250 0.500
Ag: 0.500 0.500 0.000

The crystal system is tetragonal. Its formation energy from the elements is 0.252 eV/atom. Its density of states at the Fermi level is 2.422 states/eV per cell. As for the space group: No. 119. The value obtained for the size of the total moment is 0.000 Bohr magnetons per cell. The total energy comes out at -30.958 eV/cell.

[7]
An optimized crystal structure of BaNiBr2. Source: Alexandria, functional PBE.

a = 5.488 Å, b = 5.488 Å, c = 5.488 Å
α = 60.00°, β = 60.00°, γ = 60.00°
Element x y z (fractional)
Br: 0.250 0.250 0.250
Br: 0.000 0.000 0.000
Ni: 0.750 0.750 0.750
Ba: 0.500 0.500 0.500

The crystal system is cubic. Its energy above the lowest structure with this stoichiometry is 0.6480 eV/atom. For the uncorrected formation energy, the calculation gives -0.3926 eV/atom. Its density of states at the Fermi level is 11.396 states/eV per cell. As for the space group: No. 216. The value obtained for the size of the total moment is 1.316 Bohr magnetons per cell. The total energy comes out at -12.620 eV/cell.

[8]
An optimized crystal structure of CrCdIr. Source: Alexandria, functional PBE.

a = 2.769 Å, b = 2.769 Å, c = 6.968 Å
α = 90.00°, β = 90.00°, γ = 120.00°
Element x y z (fractional)
Ir: 0.333 0.667 0.637
Cd: 0.000 0.000 0.007
Cr: 0.667 0.333 0.356

The crystal system is trigonal. Its energy above the lowest structure with this stoichiometry is 0.0906 eV/atom. Its formation energy from the elements is 0.206 eV/atom. Its density of states at the Fermi level is 2.763 states/eV per cell. As for the space group: No. 156. The value obtained for the size of the total moment is 0.006 Bohr magnetons per cell. The total energy comes out at -18.782 eV/cell.